1.
Li4Cd15In (PBE, relaxed); VASP energy = -1.326 eV/atom; V = 427.6 Å³ per cell
1.0
4.415 0.000 0.000
0.000 4.415 0.000
0.000 0.000 21.943
Li Cd In
4 15 1
Direct
0.000 0.000 0.099
0.000 0.000 0.294
0.000 0.000 0.706
0.000 0.000 0.901
0.000 0.500 0.000
0.000 0.500 0.197
0.000 0.500 0.392
0.000 0.500 0.608
0.000 0.500 0.803
0.500 0.000 0.000
0.500 0.000 0.197
0.500 0.000 0.392
0.500 0.000 0.608
0.500 0.000 0.803
0.500 0.500 0.099
0.500 0.500 0.295
0.500 0.500 0.500
0.500 0.500 0.705
0.500 0.500 0.901
0.000 0.000 0.500

***

2.
Li3CdIn (PBE, relaxed); excess energy over the best structure of this formula in the dataset = 391.2 meV/atom; VASP energy = -1.751 eV/atom; V = 123.5 Å³ per cell
1.0
4.979 0.000 0.000
0.000 4.979 0.000
0.000 0.000 4.979
Li Cd In
3 1 1
Direct
0.000 0.000 0.500
0.000 0.500 0.000
0.500 0.000 0.000
0.000 0.000 0.000
0.500 0.500 0.500

***

3.
Li3Cd2In2 (PBE, relaxed); VASP energy = -2.102 eV/atom; V = 141.3 Å³ per cell
1.0
4.181 -2.413 0.000
4.181 2.413 0.000
-2.797 0.000 7.006
Li Cd In
3 2 2
Direct
0.000 0.000 0.000
0.143 0.143 0.428
0.857 0.857 0.572
0.279 0.279 0.838
0.721 0.721 0.162
0.429 0.429 0.284
0.571 0.571 0.716

***

4.
Li4CdIn (PBE, relaxed); excess energy over the best structure of this formula in the dataset = 85.6 meV/atom; VASP energy = -2.039 eV/atom; V = 121.2 Å³ per cell
1.0
4.797 -1.478 0.000
4.797 1.478 0.000
-4.320 0.000 8.549
Li Cd In
4 1 1
Direct
0.158 0.158 0.342
0.341 0.341 0.157
0.659 0.659 0.843
0.842 0.842 0.658
0.500 0.500 0.500
0.000 0.000 0.000

***

5.
Li4Cd5In2 (PBE, relaxed); excess energy over the best structure of this formula in the dataset = 0.0 meV/atom; VASP energy = -1.793 eV/atom; V = 225.6 Å³ per cell
1.0
4.266 -2.383 0.000
4.266 2.383 0.000
-3.422 0.000 11.096
Li Cd In
4 5 2
Direct
0.103 0.103 0.276
0.270 0.270 0.823
0.730 0.730 0.177
0.897 0.897 0.724
0.000 0.000 0.000
0.182 0.182 0.561
0.364 0.364 0.084
0.636 0.636 0.916
0.818 0.818 0.439
0.459 0.459 0.348
0.541 0.541 0.652

***

6.
Li2Cd5In5 (PBE, relaxed); VASP energy = -1.925 eV/atom; V = 276.0 Å³ per cell
1.0
6.834 -2.231 0.000
6.834 2.231 0.000
-4.387 0.000 9.048
Li Cd In
2 5 5
Direct
0.081 0.081 0.244
0.919 0.919 0.756
0.000 0.000 0.500
0.164 0.164 0.002
0.257 0.257 0.756
0.743 0.743 0.244
0.836 0.836 0.998
0.332 0.332 0.504
0.418 0.418 0.250
0.500 0.500 0.000
0.582 0.582 0.750
0.668 0.668 0.496

***

7.
LiCd11In17 (PBE, relaxed); VASP energy = -2.020 eV/atom; V = 730.6 Å³ per cell
1.0
5.676 -8.043 0.000
5.676 8.043 0.000
-5.672 0.000 8.001
Li Cd In
1 11 17
Direct
0.000 0.000 0.000
0.178 0.178 0.367
0.182 0.561 0.996
0.183 0.997 0.812
0.368 0.558 0.565
0.369 0.745 0.376
0.558 0.368 0.565
0.561 0.182 0.996
0.561 0.748 0.186
0.745 0.369 0.376
0.748 0.561 0.186
0.997 0.183 0.812
0.036 0.365 0.180
0.057 0.369 0.600
0.060 0.786 0.185
0.088 0.676 0.492
0.364 0.364 0.178
0.365 0.036 0.180
0.369 0.057 0.600
0.375 0.784 0.877
0.382 0.382 0.847
0.663 0.965 0.783
0.676 0.088 0.492
0.696 0.696 0.906
0.701 0.701 0.520
0.784 0.375 0.877
0.786 0.060 0.185
0.961 0.961 0.468
0.965 0.663 0.783

***

8.
Li4Cd4In5 (PBE, relaxed); VASP energy = -2.091 eV/atom; V = 280.9 Å³ per cell
1.0
-5.634 5.634 2.212
5.634 -5.634 2.212
5.634 5.634 -2.212
Li Cd In
4 4 5
Direct
0.147 0.774 0.921
0.226 0.147 0.373
0.774 0.853 0.627
0.853 0.226 0.079
0.086 0.384 0.469
0.384 0.914 0.298
0.616 0.086 0.702
0.914 0.616 0.531
0.000 0.000 0.000
0.300 0.552 0.853
0.448 0.300 0.748
0.552 0.700 0.252
0.700 0.448 0.147

***

9.
LiCd8In6 (PBE, relaxed); VASP energy = -1.681 eV/atom; V = 386.5 Å³ per cell
1.0
8.641 0.000 0.000
-4.321 7.484 0.000
0.000 0.000 5.977
Li Cd In
1 8 6
Direct
0.000 0.000 0.000
0.008 0.328 0.436
0.320 0.992 0.436
0.328 0.320 0.564
0.333 0.667 0.613
0.667 0.333 0.387
0.672 0.680 0.436
0.680 0.008 0.564
0.992 0.672 0.564
0.140 0.711 0.057
0.289 0.428 0.057
0.428 0.140 0.943
0.572 0.860 0.057
0.711 0.572 0.943
0.860 0.289 0.943

***

10.
LiCd4In3 (PBE, relaxed); VASP energy = -1.769 eV/atom; V = 188.7 Å³ per cell
1.0
10.273 -1.656 0.000
10.273 1.656 0.000
-1.438 0.000 5.544
Li Cd In
1 4 3
Direct
0.000 0.000 0.000
0.120 0.120 0.808
0.381 0.381 0.722
0.619 0.619 0.278
0.880 0.880 0.192
0.254 0.254 0.257
0.500 0.500 0.500
0.746 0.746 0.743

***

11.
Li2CdIn2 (PBE, relaxed); excess energy over the best structure of this formula in the dataset = 24.8 meV/atom; VASP energy = -2.220 eV/atom; V = 212.4 Å³ per cell
1.0
8.009 0.000 0.000
0.000 8.009 0.000
0.000 0.000 3.311
Li Cd In
4 2 4
Direct
0.167 0.333 0.000
0.333 0.833 0.000
0.667 0.167 0.000
0.833 0.667 0.000
0.000 0.000 0.500
0.500 0.500 0.500
0.134 0.634 0.500
0.366 0.134 0.500
0.634 0.866 0.500
0.866 0.366 0.500

***

12.
Li2CdIn3 (PBE, relaxed); excess energy over the best structure of this formula in the dataset = 0.0 meV/atom; VASP energy = -2.311 eV/atom; V = 273.1 Å³ per cell
1.0
0.000 4.855 9.029
3.114 0.000 9.029
3.114 4.855 0.000
Li Cd In
4 2 6
Direct
0.244 0.756 0.756
0.250 0.250 0.250
0.750 0.750 0.750
0.756 0.244 0.244
0.146 0.146 0.854
0.854 0.854 0.146
0.192 0.641 0.359
0.305 0.305 0.695
0.359 0.808 0.192
0.641 0.192 0.808
0.695 0.695 0.305
0.808 0.359 0.641